First-principles (GGA-PBE) data for NaAlZnF6 after structural relaxation, as listed in Alexandria via LeMat-Bulk.

Cell: 5.200 5.200 9.769 Å, 90.00 90.00 120.00°
Positions (direct):
Na1 0.000 0.000 0.000
Na2 0.000 0.000 0.500
Al1 0.667 0.333 0.250
Al2 0.333 0.667 0.750
Zn1 0.333 0.667 0.250
Zn2 0.667 0.333 0.750
F1 0.650 0.617 0.144
F2 0.967 0.350 0.144
F3 0.350 0.967 0.644
F4 0.033 0.650 0.856
F5 0.383 0.350 0.356
F6 0.967 0.617 0.356
F7 0.617 0.967 0.856
F8 0.650 0.033 0.356
F9 0.033 0.383 0.644
F10 0.383 0.033 0.144
F11 0.617 0.650 0.644
F12 0.350 0.383 0.856

## Properties
density: 3.33 Mg/m³
magnetic moment: 0.00 μB/f.u.
final energy: -4.949 eV per atom
formation energy (no corrections): -2.998 eV/atom

---

First-principles (GGA-PBE) data for NaZrAl2F after structural relaxation, as listed in Alexandria via LeMat-Bulk.

Cell: 5.629 4.142 5.629 Å, 90.00 90.00 90.00°
Positions (direct):
Na1 0.500 0.500 0.500
Al1 0.000 0.000 0.500
Al2 0.500 0.000 0.000
Zr1 0.000 0.000 0.000
F1 0.000 0.500 0.000

## Properties
density: 2.37 Mg/m³
magnetic moment: 0.00 μB/f.u.
final energy: -4.231 eV per atom
formation energy (no corrections): -0.386 eV/atom

---

First-principles (GGA-PBE) data for Nb2Al2F after structural relaxation, as listed in Alexandria via LeMat-Bulk.

Cell: 7.865 7.865 2.884 Å, 90.00 90.00 90.00°
Positions (direct):
Nb1 0.177 0.677 0.500
Nb2 0.677 0.823 0.500
Nb3 0.823 0.323 0.500
Nb4 0.323 0.177 0.500
Al1 0.381 0.881 0.000
Al2 0.881 0.619 0.000
Al3 0.619 0.119 0.000
Al4 0.119 0.381 0.000
F1 0.000 0.000 0.000
F2 0.500 0.500 0.000

## Properties
density: 4.82 Mg/m³
relative energy among the computed polymorphs: 0 meV per atom
magnetic moment: 0.00 μB/f.u.
final energy: -5.840 eV per atom
formation energy (no corrections): 0.060 eV/atom

---

First-principles (GGA-PBE) data for Nb2Al2F after structural relaxation, as listed in Alexandria via LeMat-Bulk.

Cell: 3.654 3.654 7.662 Å, 76.20 76.20 90.00°
Positions (direct):
Nb1 0.750 0.250 0.500
Nb2 0.250 0.750 0.500
Al1 0.414 0.414 0.172
Al2 0.586 0.586 0.828
F1 0.000 0.000 0.000

## Properties
density: 4.46 Mg/m³
relative energy among the computed polymorphs: 13 meV per atom
magnetic moment: 0.00 μB/f.u.
final energy: -5.827 eV per atom
formation energy (no corrections): 0.072 eV/atom

---

First-principles (GGA-PBE) data for Nb3AlF after structural relaxation, as listed in Alexandria via LeMat-Bulk.

Cell: 4.318 4.318 4.318 Å, 90.00 90.00 90.00°
Positions (direct):
Nb1 0.000 0.500 0.000
Nb2 0.000 0.000 0.500
Nb3 0.500 0.000 0.000
Al1 0.500 0.500 0.500
F1 0.000 0.000 0.000

## Properties
density: 6.70 Mg/m³
relative energy among the computed polymorphs: 0 meV per atom
magnetic moment: 0.00 μB/f.u.
final energy: -7.320 eV per atom
formation energy (no corrections): -0.156 eV/atom

---

First-principles (GGA-PBE) data for NbAlO2F after structural relaxation, as listed in Alexandria via LeMat-Bulk.

Cell: 3.832 3.832 3.614 Å, 90.00 90.00 90.00°
Each line ends with the local moment (μB).
Positions (direct):
Nb1 0.500 0.500 0.500  2.54
Al1 0.000 0.000 0.000  0.00
O1 0.000 0.500 0.000  -0.01
O2 0.500 0.000 0.000  -0.01
F1 0.000 0.000 0.500  0.06

## Properties
density: 5.35 Mg/m³
magnetic moment: 2.97 μB/f.u.
final energy: -6.877 eV per atom
formation energy (no corrections): -1.757 eV/atom

---

First-principles (GGA-PBE) data for NbAlO2F after structural relaxation, as listed in Alexandria via LeMat-Bulk.

Cell: 4.044 4.044 4.323 Å, 90.00 90.00 90.00°
Each line ends with the local moment (μB).
Positions (direct):
Nb1 0.000 0.000 0.000  0.55
Al1 0.500 0.500 0.500  0.00
O1 0.000 0.500 0.000  -0.01
O2 0.500 0.000 0.000  -0.01
F1 0.000 0.000 0.500  0.02

## Properties
density: 4.01 Mg/m³
magnetic moment: 0.63 μB/f.u.
final energy: -6.860 eV per atom
formation energy (no corrections): -1.740 eV/atom

---

First-principles (GGA-PBE) data for NbAlOs2F after structural relaxation, as listed in Alexandria via LeMat-Bulk.

Cell: 4.357 4.046 4.357 Å, 90.00 90.00 90.00°
Positions (direct):
Nb1 0.000 0.500 0.000
Os1 0.000 0.000 0.500
Os2 0.500 0.000 0.000
Al1 0.500 0.500 0.500
F1 0.000 0.000 0.000

## Properties
density: 11.23 Mg/m³
magnetic moment: 0.00 μB/f.u.
final energy: -6.853 eV per atom
formation energy (no corrections): 0.776 eV/atom